DFT (SCAN) results for a crystal of Cu5Si relaxed with PBEsol.

Properties
Its density of states at the Fermi level is 1.910 states/eV/f.u. Its relative energy among the computed polymorphs is 0.0000 eV per atom. Its spin magnetization is 0.00 Bohr magnetons per cell.

a b c (Å): 4.115 4.377 4.377
angles (deg): 120.00 90.00 90.00
Positions (direct):
Cu 0.000 0.328 0.328
Cu 0.000 0.672 0.000
Cu 0.000 0.000 0.672
Cu 0.500 0.333 0.667
Cu 0.500 0.667 0.333
Si 0.500 0.000 0.000